[1]
Computed, not measured: a geometry-optimized Tb6PrY3Sc2 structure at the GGA-PBE level of DFT.

Cell lengths 6.112, 10.577, 11.688 Å; angles 90.00, 99.98, 90.00 degrees
Space group C2/m (No. 12)
Inequivalent atoms, fractional coordinates:
Tb 0.246 0.000 0.246 [4 per cell]
Tb 0.249 0.168 0.754 [8 per cell]
Pr 0.000 0.500 0.000 [2 per cell]
Y 0.000 0.000 0.500 [2 per cell]
Y 0.000 0.333 0.500 [4 per cell]
Sc 0.000 0.167 0.000 [4 per cell]


[2]
Computed, not measured: a geometry-optimized TbPr2Y4Sc structure at the GGA-PBE level of DFT.

Cell lengths 5.057, 5.057, 10.058 Å; angles 90.00, 90.00, 90.00 degrees
Space group P4/mmm (No. 123)
Inequivalent atoms, fractional coordinates:
Tb 0.000 0.000 0.000 [1 per cell]
Pr 0.000 0.000 0.500 [1 per cell]
Pr 0.500 0.500 0.000 [1 per cell]
Y 0.000 0.500 0.255 [4 per cell]
Sc 0.500 0.500 0.500 [1 per cell]


[3]
Computed, not measured: a geometry-optimized TbPr3Y6Sc2 structure at the GGA-PBE level of DFT.

Cell lengths 6.176, 10.697, 11.743 Å; angles 90.00, 100.10, 90.00 degrees
Space group C2/m (No. 12)
Inequivalent atoms, fractional coordinates:
Tb 0.000 0.000 0.000 [2 per cell]
Pr 0.000 0.167 0.500 [4 per cell]
Pr 0.000 0.500 0.500 [2 per cell]
Y 0.244 0.500 0.241 [4 per cell]
Y 0.249 0.168 0.241 [8 per cell]
Sc 0.000 0.333 0.000 [4 per cell]


Number 1: E_form 0.465 eV/f.u., uncorrected energy -128.30 eV per cell. Number 2: E_form 0.301 eV/f.u., uncorrected energy -46.08 eV per cell. Number 3: E_form 0.528 eV/f.u., uncorrected energy -139.78 eV per cell.